Record 1
A plane-wave DFT calculation with PBE was carried out for an optimized crystal structure of TbErPaSn.

```
data_TbErPaSn
_chemical_formula_sum 'Tb4 Er4 Pa4 Sn4'
_cell_length_a 7.531
_cell_length_b 7.531
_cell_length_c 7.531
_cell_angle_alpha 90.00
_cell_angle_beta 90.00
_cell_angle_gamma 90.00
_symmetry_space_group_name_H-M 'F -4 3 m'
_symmetry_Int_Tables_number 216
_symmetry_space_group_name_Hall 'F -4 2 3'
loop_
_atom_site_label
_atom_site_type_symbol
_atom_site_fract_x
_atom_site_fract_y
_atom_site_fract_z
Tb1 Tb 0.000 0.000 0.000
Er1 Er 0.000 0.000 0.500
Pa1 Pa 0.250 0.250 0.750
Sn1 Sn 0.250 0.250 0.250
```

Values from the calculation:
**ΔH_f (0 K)**: 0.019 eV/atom
**Electronic total energy**: -90.5 eV/cell

***

Record 2
A plane-wave DFT calculation with PBE was carried out for an optimized crystal structure of GeRu3I.

```
data_GeRu3I
_chemical_formula_sum 'Ge1 Ru3 I1'
_cell_length_a 4.863
_cell_length_b 4.863
_cell_length_c 4.863
_cell_angle_alpha 90.00
_cell_angle_beta 90.00
_cell_angle_gamma 90.00
_symmetry_space_group_name_H-M 'P m -3 m'
_symmetry_Int_Tables_number 221
_symmetry_space_group_name_Hall '-P 4 2 3'
loop_
_atom_site_label
_atom_site_type_symbol
_atom_site_fract_x
_atom_site_fract_y
_atom_site_fract_z
Ge1 Ge 0.000 0.000 0.000
Ru1 Ru 0.000 0.500 0.500
I1 I 0.500 0.500 0.500
```

Values from the calculation:
**E_form (uncorrected)**: 1.812 eV/atom
**Electronic total energy**: -24.9 eV/cell
**ΔE to the lowest computed polymorph**: 0.551 eV/atom

***

Record 3
A plane-wave DFT calculation with PBE was carried out for an optimized crystal structure of BaInHg10.

```
data_BaInHg10
_chemical_formula_sum 'Ba1 In1 Hg10'
_cell_length_a 5.490
_cell_length_b 6.265
_cell_length_c 10.342
_cell_angle_alpha 90.00
_cell_angle_beta 90.00
_cell_angle_gamma 90.00
_symmetry_space_group_name_H-M 'P m m m'
_symmetry_Int_Tables_number 47
loop_
_symmetry_equiv_pos_as_xyz
'x,y,z'
'-x,-y,-z'
'-x,-y,z'
'x,y,-z'
'x,-y,-z'
'-x,y,z'
'-x,y,-z'
'x,-y,z'
loop_
_atom_site_label
_atom_site_type_symbol
_atom_site_fract_x
_atom_site_fract_y
_atom_site_fract_z
Ba1 Ba 0.000 0.000 0.000
In1 In 0.000 0.500 0.500
Hg1 Hg 0.000 0.000 0.345
Hg2 Hg 0.000 0.500 0.185
Hg3 Hg 0.500 0.000 0.500
Hg4 Hg 0.500 0.244 0.244
Hg5 Hg 0.500 0.500 0.000
```

Values from the calculation:
**ΔH_f (0 K)**: -0.090 eV/atom
**Electronic total energy**: -8.8 eV/cell

***

Record 4
A plane-wave DFT calculation with PBE was carried out for an optimized crystal structure of ReHg2Te.

```
data_ReHg2Te
_chemical_formula_sum 'Re2 Hg4 Te2'
_cell_length_a 2.937
_cell_length_b 5.466
_cell_length_c 11.130
_cell_angle_alpha 90.00
_cell_angle_beta 90.00
_cell_angle_gamma 90.00
_symmetry_space_group_name_H-M 'C m m m'
_symmetry_Int_Tables_number 65
_symmetry_space_group_name_Hall '-C 2 2'
loop_
_atom_site_label
_atom_site_type_symbol
_atom_site_fract_x
_atom_site_fract_y
_atom_site_fract_z
Re1 Re 0.000 0.000 0.000
Hg1 Hg 0.000 0.500 0.220
Te1 Te 0.000 0.000 0.500
```

Values from the calculation:
**E_form (uncorrected)**: 0.833 eV/atom
**Electronic total energy**: -25.7 eV/cell
**ΔE to the lowest computed polymorph**: 0.428 eV/atom

***

Record 5
A plane-wave DFT calculation with PBE was carried out for an optimized crystal structure of NdY2Mg.

```
data_NdY2Mg
_chemical_formula_sum 'Nd1 Y2 Mg1'
_cell_length_a 3.705
_cell_length_b 3.705
_cell_length_c 8.970
_cell_angle_alpha 90.00
_cell_angle_beta 90.00
_cell_angle_gamma 90.00
_symmetry_space_group_name_H-M 'P 4/m m m'
_symmetry_Int_Tables_number 123
_symmetry_space_group_name_Hall '-P 4 2'
loop_
_atom_site_label
_atom_site_type_symbol
_atom_site_fract_x
_atom_site_fract_y
_atom_site_fract_z
Nd1 Nd 0.000 0.000 0.000
Y1 Y 0.500 0.500 0.280
Mg1 Mg 0.000 0.000 0.500
```

Values from the calculation:
**ΔH_f (0 K)**: -0.038 eV/atom
**Electronic total energy**: -19.4 eV/cell
**ΔE to the lowest computed polymorph**: 0.000 eV/atom

***

Record 6
A plane-wave DFT calculation with PBE was carried out for an optimized crystal structure of Y8Er5Sc.

```
data_Y8Er5Sc
_chemical_formula_sum 'Y16 Er10 Sc2'
_cell_length_a 15.212
_cell_length_b 8.257
_cell_length_c 8.398
_cell_angle_alpha 90.00
_cell_angle_beta 121.32
_cell_angle_gamma 90.00
_symmetry_space_group_name_H-M 'C 1 2 1'
_symmetry_Int_Tables_number 5
loop_
_symmetry_equiv_pos_as_xyz
'x,y,z'
'-x,y,-z'
'x+1/2,y+1/2,z'
'-x+1/2,y+1/2,-z'
loop_
_atom_site_label
_atom_site_type_symbol
_atom_site_fract_x
_atom_site_fract_y
_atom_site_fract_z
Y1 Y 0.128 0.000 0.177
Y2 Y 0.164 0.606 0.204
Y3 Y 0.185 0.299 0.921
Y4 Y 0.191 0.788 0.573
Er1 Er 0.000 0.055 0.500
Er2 Er 0.050 0.708 0.769
Er3 Er 0.103 0.387 0.466
Sc1 Sc 0.000 0.331 0.000
```

Values from the calculation:
**ΔH_f (0 K)**: 0.198 eV/atom
**Electronic total energy**: -156.2 eV/cell

***

Record 7
A plane-wave DFT calculation with PBE was carried out for an optimized crystal structure of LaAlCo2.

```
data_LaAlCo2
_chemical_formula_sum 'La1 Al1 Co2'
_cell_length_a 4.454
_cell_length_b 4.454
_cell_length_c 3.294
_cell_angle_alpha 90.00
_cell_angle_beta 90.00
_cell_angle_gamma 90.00
_symmetry_space_group_name_H-M 'P 4/m m m'
_symmetry_Int_Tables_number 123
_symmetry_space_group_name_Hall '-P 4 2'
loop_
_atom_site_label
_atom_site_type_symbol
_atom_site_fract_x
_atom_site_fract_y
_atom_site_fract_z
La1 La 0.000 0.000 0.000
Al1 Al 0.500 0.500 0.000
Co1 Co 0.000 0.500 0.500
```

Values from the calculation:
**ΔH_f (0 K)**: -0.002 eV/atom
**Electronic total energy**: -22.9 eV/cell

***

Record 8
A plane-wave DFT calculation with PBE was carried out for an optimized crystal structure of CrNiAs2.

```
data_CrNiAs2
_chemical_formula_sum 'Cr2 Ni2 As4'
_cell_length_a 6.370
_cell_length_b 3.643
_cell_length_c 5.909
_cell_angle_alpha 90.00
_cell_angle_beta 110.50
_cell_angle_gamma 90.00
_symmetry_space_group_name_H-M 'C 1 2/m 1'
_symmetry_Int_Tables_number 12
loop_
_symmetry_equiv_pos_as_xyz
'x,y,z'
'-x,-y,-z'
'-x,y,-z'
'x,-y,z'
'x+1/2,y+1/2,z'
'-x+1/2,-y+1/2,-z'
'-x+1/2,y+1/2,-z'
'x+1/2,-y+1/2,z'
loop_
_atom_site_label
_atom_site_type_symbol
_atom_site_fract_x
_atom_site_fract_y
_atom_site_fract_z
Cr1 Cr 0.000 0.000 0.000
Ni1 Ni 0.000 0.500 0.500
As1 As 0.242 0.000 0.726
```

Values from the calculation:
**ΔH_f (0 K)**: 0.039 eV/atom
**Electronic total energy**: -49.1 eV/cell
**ΔE to the lowest computed polymorph**: 0.159 eV/atom